[1]
# PmPrSm5Ho2 | the Alexandria database | PBE | optimized geometry
# Energy of formation: 152 meV/atom
data_PmPrSm5Ho2
_chemical_formula_sum 'Pm4 Pr4 Sm20 Ho8'
_symmetry_space_group_name_H-M 'C m c 21'
_symmetry_Int_Tables_number 36
_cell_length_a 5.6954
_cell_length_b 20.2794
_cell_length_c 10.6581
_cell_angle_alpha 90.00
_cell_angle_beta 90.00
_cell_angle_gamma 90.00
loop_
_symmetry_equiv_pos_as_xyz
'x,y,z'
'-x,-y,z+1/2'
'-x,y,z'
'x,-y,z+1/2'
'x+1/2,y+1/2,z'
'-x+1/2,-y+1/2,z+1/2'
'-x+1/2,y+1/2,z'
'x+1/2,-y+1/2,z+1/2'
loop_
_atom_site_label
_atom_site_type_symbol
_atom_site_fract_x
_atom_site_fract_y
_atom_site_fract_z
Pm1 Pm 0.0000 0.2008 0.0000
Pr1 Pr 0.0000 0.4149 0.4377
Sm1 Sm 0.0000 0.0168 0.0130
Sm2 Sm 0.0000 0.2806 0.2997
Sm3 Sm 0.0000 0.2975 0.6956
Sm4 Sm 0.0000 0.3905 0.0138
Sm5 Sm 0.0000 0.4775 0.7272
Ho1 Ho 0.0000 0.1122 0.7218
Ho2 Ho 0.0000 0.1159 0.3108


[2]
# TmTl2BiSe4 | the Alexandria database | PBE | optimized geometry
# Formation energy without anion corrections: -7.3 eV per formula unit
data_TmTl2BiSe4
_chemical_formula_sum 'Tm1 Tl2 Bi1 Se4'
_symmetry_space_group_name_H-M 'P 1 2/m 1'
_symmetry_Int_Tables_number 10
_cell_length_a 7.3482
_cell_length_b 4.2175
_cell_length_c 8.0817
_cell_angle_alpha 90.00
_cell_angle_beta 107.46
_cell_angle_gamma 90.00
loop_
_symmetry_equiv_pos_as_xyz
'x,y,z'
'-x,-y,-z'
'-x,y,-z'
'x,-y,z'
loop_
_atom_site_label
_atom_site_type_symbol
_atom_site_fract_x
_atom_site_fract_y
_atom_site_fract_z
Tm1 Tm 0.0000 0.0000 0.0000
Tl1 Tl 0.0000 0.5000 0.5000
Tl2 Tl 0.5000 0.0000 0.5000
Bi1 Bi 0.5000 0.5000 0.0000
Se1 Se 0.2251 0.5000 0.2043
Se2 Se 0.2526 0.0000 0.7895


[3]
# Ti6Sb2S | the Alexandria database | PBE | optimized geometry
# Formation energy without anion corrections: -6.0 eV per formula unit
data_Ti6Sb2S
_chemical_formula_sum 'Ti6 Sb2 S1'
_symmetry_space_group_name_H-M 'P -6 2 m'
_symmetry_Int_Tables_number 189
_symmetry_space_group_name_Hall 'P -6 -2'
_cell_length_a 7.1958
_cell_length_b 7.1958
_cell_length_c 3.4581
_cell_angle_alpha 90.00
_cell_angle_beta 90.00
_cell_angle_gamma 120.00
loop_
_atom_site_label
_atom_site_type_symbol
_atom_site_fract_x
_atom_site_fract_y
_atom_site_fract_z
Ti1 Ti 0.0000 0.3644 0.0000
Ti2 Ti 0.0000 0.7601 0.5000
Sb1 Sb 0.3333 0.6667 0.5000
S1 S 0.0000 0.0000 0.0000


[4]
# P3Rh5 | the Alexandria database | PBE | optimized geometry
# Relative energy among the computed polymorphs: 0.143 eV per atom
# Energy of formation: -390 meV/atom
data_P3Rh5
_chemical_formula_sum 'P6 Rh10'
_symmetry_space_group_name_H-M 'P 63/m c m'
_symmetry_Int_Tables_number 193
_symmetry_space_group_name_Hall '-P 6c 2'
_cell_length_a 6.8296
_cell_length_b 6.8296
_cell_length_c 5.5518
_cell_angle_alpha 90.00
_cell_angle_beta 90.00
_cell_angle_gamma 120.00
loop_
_atom_site_label
_atom_site_type_symbol
_atom_site_fract_x
_atom_site_fract_y
_atom_site_fract_z
P1 P 0.0000 0.3818 0.2500
Rh1 Rh 0.0000 0.2758 0.7500
Rh2 Rh 0.3333 0.6667 0.0000


[5]
# Pm2SmDy3As6 | the Alexandria database | PBE | optimized geometry
# Energy of formation: -1529 meV/atom
data_Pm2SmDy3As6
_chemical_formula_sum 'Pm4 Sm2 Dy6 As12'
_symmetry_space_group_name_H-M 'C 1 2/m 1'
_symmetry_Int_Tables_number 12
_cell_length_a 18.1920
_cell_length_b 4.1770
_cell_length_c 8.3460
_cell_angle_alpha 90.00
_cell_angle_beta 103.23
_cell_angle_gamma 90.00
loop_
_symmetry_equiv_pos_as_xyz
'x,y,z'
'-x,-y,-z'
'-x,y,-z'
'x,-y,z'
'x+1/2,y+1/2,z'
'-x+1/2,-y+1/2,-z'
'-x+1/2,y+1/2,-z'
'x+1/2,-y+1/2,z'
loop_
_atom_site_label
_atom_site_type_symbol
_atom_site_fract_x
_atom_site_fract_y
_atom_site_fract_z
Pm1 Pm 0.1665 0.0000 0.3330
Sm1 Sm 0.0000 0.5000 0.0000
Dy1 Dy 0.0000 0.5000 0.5000
Dy2 Dy 0.1667 0.0000 0.8333
As1 As 0.0017 0.0000 0.7470
As2 As 0.1651 0.5000 0.5873
As3 As 0.1679 0.5000 0.0789


[6]
# Zr3W | the Alexandria database | PBE | optimized geometry
# Relative energy among the computed polymorphs: 0.175 eV per atom
# Energy of formation: 272 meV/atom
data_Zr3W
_chemical_formula_sum 'Zr6 W2'
_symmetry_space_group_name_H-M 'C m m m'
_symmetry_Int_Tables_number 65
_symmetry_space_group_name_Hall '-C 2 2'
_cell_length_a 5.8239
_cell_length_b 9.8416
_cell_length_c 2.9025
_cell_angle_alpha 90.00
_cell_angle_beta 90.00
_cell_angle_gamma 90.00
loop_
_atom_site_label
_atom_site_type_symbol
_atom_site_fract_x
_atom_site_fract_y
_atom_site_fract_z
Zr1 Zr 0.0000 0.0000 0.0000
Zr2 Zr 0.2500 0.2500 0.5000
W1 W 0.0000 0.5000 0.0000